(1)
CuTeRuI2 | PBE-GGA | optimized geometry

a = 5.617 Å, b = 5.617 Å, c = 4.947 Å
α = 90.00°, β = 90.00°, γ = 90.00°
Atoms (fractional coordinates):
I: 0.000 0.500 0.000
I: 0.500 0.000 0.000
Ru: 0.000 0.000 0.000
Te: 0.000 0.000 0.500
Cu: 0.500 0.500 0.500

As for the crystal system: tetragonal. The polymorph energy (0 for the lowest one) is 0.000 eV per atom. For the formation energy from raw total energies, the calculation gives 697 meV/atom.


(2)
MgCd3B | PBE-GGA | optimized geometry

a = 5.274 Å, b = 5.274 Å, c = 5.274 Å
α = 90.00°, β = 90.00°, γ = 90.00°
Atoms (fractional coordinates):
Mg: 0.000 0.000 0.000
B: 0.500 0.500 0.500
Cd: 0.000 0.500 0.000
Cd: 0.000 0.000 0.500
Cd: 0.500 0.000 0.000

As for the crystal system: cubic. The polymorph energy (0 for the lowest one) is 0.864 eV per atom. As for the energy of formation from the pure elements: 1339 meV/atom.


(3)
B4C | PBE-GGA | optimized geometry

a = 4.802 Å, b = 2.815 Å, c = 4.893 Å
α = 90.00°, β = 90.94°, γ = 90.00°
Atoms (fractional coordinates):
C: 0.531 0.000 0.719
C: 0.531 0.500 0.219
B: 0.025 0.000 0.025
B: 0.025 0.500 0.525
B: 0.629 0.000 0.046
B: 0.629 0.500 0.546
B: 0.200 0.000 0.694
B: 0.200 0.500 0.194
B: 0.870 0.000 0.688
B: 0.870 0.500 0.188

As for the crystal system: monoclinic. The polymorph energy (0 for the lowest one) is 0.330 eV per atom. As for the energy of formation from the pure elements: 228 meV/atom.


(4)
BaSrCaSm | PBE-GGA | optimized geometry

a = 6.367 Å, b = 6.367 Å, c = 6.367 Å
α = 60.00°, β = 60.00°, γ = 60.00°
Atoms (fractional coordinates):
Sr: 0.250 0.250 0.250
Ca: 0.000 0.000 0.000
Ba: 0.500 0.500 0.500
Sm: 0.750 0.750 0.750

As for the crystal system: cubic. As for the energy of formation from the pure elements: 167 meV/atom.


(5)
Sc2Cd3Pb | PBE-GGA | optimized geometry

a = 4.445 Å, b = 7.312 Å, c = 10.107 Å
α = 116.12°, β = 90.00°, γ = 107.69°
Atoms (fractional coordinates):
Sc: 0.526 0.052 0.853
Sc: 0.474 0.948 0.147
Sc: 0.791 0.582 0.141
Sc: 0.209 0.418 0.859
Cd: 0.286 0.573 0.615
Cd: 0.959 0.917 0.621
Cd: 0.620 0.241 0.618
Cd: 0.380 0.759 0.382
Cd: 0.041 0.083 0.379
Cd: 0.714 0.427 0.385
Pb: 0.871 0.743 0.897
Pb: 0.129 0.257 0.103

As for the crystal system: monoclinic. As for the energy of formation from the pure elements: -199 meV/atom.


(6)
YSnAs3 | PBE-GGA | optimized geometry

a = 5.393 Å, b = 5.393 Å, c = 5.393 Å
α = 90.00°, β = 90.00°, γ = 90.00°
Atoms (fractional coordinates):
Y: 0.000 0.000 0.000
As: 0.000 0.500 0.000
As: 0.000 0.000 0.500
As: 0.500 0.000 0.000
Sn: 0.500 0.500 0.500

As for the crystal system: cubic. The polymorph energy (0 for the lowest one) is 0.007 eV per atom. As for the energy of formation from the pure elements: 322 meV/atom.


(7)
BeCo2As | PBE-GGA | optimized geometry

a = 3.736 Å, b = 2.684 Å, c = 4.541 Å
α = 88.86°, β = 90.00°, γ = 90.00°
Last column: magnetic moment on the atom in μB.
Atoms (fractional coordinates):
Be: 0.500 0.750 0.750  -0.02
As: 0.500 0.250 0.250  -0.01
Co: 0.000 0.011 0.986  0.59
Co: 0.000 0.489 0.514  0.59

As for the crystal system: monoclinic. The polymorph energy (0 for the lowest one) is 0.265 eV per atom. As for the energy of formation from the pure elements: 83 meV/atom.


(8)
CaNdAsPt | PBE-GGA | optimized geometry

a = 5.104 Å, b = 5.104 Å, c = 5.104 Å
α = 60.00°, β = 60.00°, γ = 60.00°
Atoms (fractional coordinates):
As: 0.000 0.000 0.000
Nd: 0.750 0.750 0.750
Ca: 0.250 0.250 0.250
Pt: 0.500 0.500 0.500

As for the crystal system: cubic. As for the energy of formation from the pure elements: -1031 meV/atom.


(9)
Rb3Tb2PrSe6 | PBE-GGA | optimized geometry

a = 7.466 Å, b = 7.466 Å, c = 8.389 Å
α = 98.54°, β = 98.54°, γ = 120.00°
Atoms (fractional coordinates):
Rb: 0.165 0.835 0.500
Rb: 0.835 0.165 0.500
Rb: 0.500 0.500 0.500
Tb: 0.333 0.667 0.000
Tb: 0.667 0.333 0.000
Pr: 0.000 0.000 0.000
Se: 0.934 0.592 0.802
Se: 0.724 0.724 0.198
Se: 0.066 0.408 0.198
Se: 0.592 0.934 0.802
Se: 0.276 0.276 0.802
Se: 0.408 0.066 0.198

As for the crystal system: monoclinic. For the formation energy from raw total energies, the calculation gives -1737 meV/atom.


(10)
ZrReHg2Se | PBE-GGA | optimized geometry

a = 5.103 Å, b = 5.055 Å, c = 5.103 Å
α = 90.00°, β = 90.00°, γ = 90.00°
Last column: magnetic moment on the atom in μB.
Atoms (fractional coordinates):
Re: 0.500 0.500 0.500  2.98
Se: 0.000 0.000 0.000  0.03
Hg: 0.000 0.000 0.500  0.00
Hg: 0.500 0.000 0.000  0.01
Zr: 0.000 0.500 0.000  -0.47

As for the crystal system: tetragonal. For the formation energy from raw total energies, the calculation gives 1365 meV/atom.


(11)
Tb2IrO | PBE-GGA | optimized geometry

a = 3.156 Å, b = 3.156 Å, c = 6.960 Å
α = 90.00°, β = 90.00°, γ = 90.00°
Atoms (fractional coordinates):
Ir: 0.500 0.500 0.000
Tb: 0.000 0.000 0.730
Tb: 0.000 0.000 0.270
O: 0.500 0.500 0.500

As for the crystal system: tetragonal. The polymorph energy (0 for the lowest one) is 0.227 eV per atom. For the formation energy from raw total energies, the calculation gives -1371 meV/atom.


(12)
BaBi2Te2 | PBE-GGA | optimized geometry

a = 9.230 Å, b = 9.230 Å, c = 4.358 Å
α = 90.00°, β = 90.00°, γ = 90.00°
Atoms (fractional coordinates):
Te: 0.355 0.855 0.000
Te: 0.855 0.645 0.000
Te: 0.645 0.145 0.000
Te: 0.145 0.355 0.000
Bi: 0.196 0.696 0.500
Bi: 0.696 0.804 0.500
Bi: 0.804 0.304 0.500
Bi: 0.304 0.196 0.500
Ba: 0.000 0.000 0.000
Ba: 0.500 0.500 0.000

As for the crystal system: tetragonal. The polymorph energy (0 for the lowest one) is 0.023 eV per atom. For the formation energy from raw total energies, the calculation gives -516 meV/atom.


(13)
TaCuBi2S | PBE-GGA | optimized geometry

a = 5.509 Å, b = 4.094 Å, c = 5.509 Å
α = 90.00°, β = 90.00°, γ = 90.00°
Last column: magnetic moment on the atom in μB.
Atoms (fractional coordinates):
S: 0.000 0.000 0.000  0.03
Bi: 0.000 0.000 0.500  -0.07
Bi: 0.500 0.000 0.000  -0.04
Cu: 0.000 0.500 0.000  0.03
Ta: 0.500 0.500 0.500  1.28

As for the crystal system: tetragonal. For the formation energy from raw total energies, the calculation gives 837 meV/atom.


(14)
Er2SiS6 | PBE-GGA | optimized geometry

a = 5.969 Å, b = 5.969 Å, c = 11.655 Å
α = 90.00°, β = 90.00°, γ = 90.00°
Atoms (fractional coordinates):
Er: 0.000 0.000 0.333
Er: 0.500 0.500 0.833
Er: 0.500 0.500 0.167
Er: 0.000 0.000 0.667
Si: 0.000 0.000 0.000
Si: 0.500 0.500 0.500
S: 0.316 0.316 0.356
S: 0.684 0.684 0.356
S: 0.184 0.816 0.856
S: 0.816 0.184 0.856
S: 0.184 0.816 0.144
S: 0.816 0.184 0.144
S: 0.316 0.316 0.644
S: 0.684 0.684 0.644
S: 0.274 0.274 0.000
S: 0.726 0.726 0.000
S: 0.226 0.774 0.500
S: 0.774 0.226 0.500

As for the crystal system: tetragonal. For the formation energy from raw total energies, the calculation gives -992 meV/atom.


(15)
BaTi2Sb2 | PBE-GGA | optimized geometry

a = 5.334 Å, b = 5.334 Å, c = 6.226 Å
α = 64.63°, β = 64.63°, γ = 90.00°
Last column: magnetic moment on the atom in μB.
Atoms (fractional coordinates):
Sb: 0.750 0.250 0.500  -0.06
Sb: 0.250 0.750 0.500  -0.06
Ba: 0.000 0.000 0.000  0.09
Ti: 0.360 0.360 0.280  1.21
Ti: 0.640 0.640 0.720  1.21

As for the crystal system: tetragonal. The polymorph energy (0 for the lowest one) is 0.347 eV per atom. For the formation energy from raw total energies, the calculation gives -251 meV/atom.


(16)
Tb2TeAu | PBE-GGA | optimized geometry

a = 3.813 Å, b = 3.813 Å, c = 7.030 Å
α = 90.00°, β = 90.00°, γ = 90.00°
Last column: magnetic moment on the atom in μB.
Atoms (fractional coordinates):
Tb: 0.000 0.000 0.760  0.29
Tb: 0.000 0.000 0.240  0.29
Te: 0.500 0.500 0.500  -0.01
Au: 0.500 0.500 0.000  0.04

As for the crystal system: tetragonal. The polymorph energy (0 for the lowest one) is 0.172 eV per atom. For the formation energy from raw total energies, the calculation gives -918 meV/atom.


(17)
Hf2TiRhN | PBE-GGA | optimized geometry

a = 4.394 Å, b = 4.394 Å, c = 4.065 Å
α = 90.00°, β = 90.00°, γ = 90.00°
Atoms (fractional coordinates):
Rh: 0.500 0.500 0.500
N: 0.000 0.000 0.000
Hf: 0.000 0.500 0.000
Hf: 0.500 0.000 0.000
Ti: 0.000 0.000 0.500

As for the crystal system: tetragonal. For the formation energy from raw total energies, the calculation gives -1010 meV/atom.


(18)
ThGaCu3 | PBE-GGA | optimized geometry

a = 4.934 Å, b = 8.545 Å, c = 6.530 Å
α = 130.87°, β = 112.20°, γ = 90.00°
Atoms (fractional coordinates):
Th: 0.250 0.286 0.500
Th: 0.750 0.714 0.500
Ga: 0.000 0.500 0.000
Ga: 0.500 0.000 0.000
Cu: 0.747 0.247 0.993
Cu: 0.247 0.247 0.993
Cu: 0.753 0.753 0.007
Cu: 0.253 0.753 0.007
Cu: 0.250 0.923 0.500
Cu: 0.750 0.077 0.500

As for the crystal system: orthorhombic. The polymorph energy (0 for the lowest one) is 0.000 eV per atom. As for the energy of formation from the pure elements: -177 meV/atom.


(19)
KNiAu3 | PBE-GGA | optimized geometry

a = 5.505 Å, b = 5.505 Å, c = 5.505 Å
α = 90.00°, β = 90.00°, γ = 90.00°
Atoms (fractional coordinates):
Ni: 0.500 0.500 0.500
K: 0.000 0.000 0.000
Au: 0.000 0.500 0.000
Au: 0.000 0.000 0.500
Au: 0.500 0.000 0.000

As for the crystal system: cubic. The polymorph energy (0 for the lowest one) is 1.527 eV per atom. As for the energy of formation from the pure elements: 1683 meV/atom.


(20)
PmPr3DyEr | PBE-GGA | optimized geometry

a = 3.645 Å, b = 10.938 Å, c = 10.912 Å
α = 109.57°, β = 90.00°, γ = 90.00°
Atoms (fractional coordinates):
Pm: 0.250 0.628 0.127
Pm: 0.750 0.372 0.873
Pr: 0.750 0.877 0.046
Pr: 0.250 0.123 0.954
Pr: 0.250 0.631 0.459
Pr: 0.750 0.369 0.541
Pr: 0.750 0.373 0.208
Pr: 0.250 0.627 0.792
Dy: 0.250 0.121 0.295
Dy: 0.750 0.879 0.705
Er: 0.250 0.120 0.622
Er: 0.750 0.880 0.378

As for the crystal system: monoclinic. As for the energy of formation from the pure elements: 19 meV/atom.


Values for DOS at the Fermi energy, states/eV per atom, ordered as above
0.668 0.739 0.045 1.647 0.684 1.169 0.825 0.140 0.000 0.777 0.631 0.198 0.396 0.683 1.152 0.869 1.027 0.839 1.386 1.353
Values for V, Å³/cell, ordered as above
156.1 146.7 66.1 182.5 277.6 156.8 45.5 94.0 386.7 131.6 69.3 371.2 124.2 415.3 140.9 102.2 78.5 180.4 166.9 409.9
Values for mass density, g/cm3, ordered as above
5.81 4.21 2.77 3.78 7.59 4.58 7.36 8.02 5.11 9.56 12.60 7.25 9.28 4.44 5.62 10.43 11.04 9.07 6.85 7.27